1.
The following is a GGA-PBE calculation of a geometry-optimized Re2SbOs structure, from the Alexandria database.

Cell lengths 8.946, 8.946, 8.946 Å; angles 18.80, 18.80, 18.80 degrees
Fractional coordinates of all 4 atoms:
Re: 0.000 0.000 0.000
Re: 0.253 0.253 0.253
Sb: 0.754 0.754 0.754
Os: 0.505 0.505 0.505

Computed properties:
The total magnetic moment is 0.00 μB/f.u. The formation energy (no corrections) is 479 meV per atom. The value obtained for the volume is 16.2 Å³ per atom.

***

2.
The following is a GGA-PBE calculation of a geometry-optimized NaGaPb structure, from the Alexandria database.

Cell lengths 3.541, 5.788, 8.232 Å; angles 110.40, 90.02, 90.00 degrees
Fractional coordinates of all 6 atoms:
Na: 0.000 0.000 0.000
Na: 0.001 0.358 0.717
Ga: 0.001 0.426 0.359
Ga: 0.501 0.071 0.357
Pb: 0.501 0.561 0.107
Pb: 0.502 0.812 0.609

Computed properties:
The total magnetic moment is 0.00 μB/f.u. The formation energy is -76 meV per atom. The value obtained for the volume is 26.4 Å³ per atom.

***

3.
The following is a GGA-PBE calculation of a geometry-optimized V2Tc2Pt structure, from the Alexandria database.

Cell lengths 6.002, 6.002, 6.002 Å; angles 142.35, 142.35, 54.30 degrees
Fractional coordinates of all 5 atoms:
V: 0.250 0.750 0.500
V: 0.750 0.250 0.500
Tc: 0.114 0.114 0.000
Tc: 0.886 0.886 0.000
Pt: 0.500 0.500 0.000

Computed properties:
The total magnetic moment is 0.00 μB/f.u. The formation energy is 365 meV per atom. For the polymorph energy (0 for the lowest one), the calculation gives 0.3523 eV per atom. The value obtained for the volume is 16.0 Å³ per atom.

***

4.
The following is a GGA-PBE calculation of a geometry-optimized La3SmRu structure, from the Alexandria database.

Cell lengths 7.866, 6.722, 6.514 Å; angles 90.00, 90.00, 90.00 degrees
Fractional coordinates of all 10 atoms:
La: 0.000 0.156 0.000
La: 0.249 0.678 0.996
La: 0.251 0.322 0.496
La: 0.500 0.844 0.500
La: 0.749 0.322 0.496
La: 0.751 0.678 0.996
Sm: 0.000 0.835 0.496
Sm: 0.500 0.165 0.996
Ru: 0.000 0.492 0.242
Ru: 0.500 0.508 0.742

Computed properties:
The total magnetic moment is 0.00 μB/f.u. The formation energy is -119 meV per atom. For the polymorph energy (0 for the lowest one), the calculation gives 0.0512 eV per atom. The value obtained for the volume is 34.4 Å³ per atom.

***

5.
The following is a GGA-PBE calculation of a geometry-optimized MgZnO2 structure, from the Alexandria database.

Cell lengths 5.672, 5.672, 5.672 Å; angles 132.07, 132.07, 70.12 degrees
Fractional coordinates of all 8 atoms:
Mg: 0.000 0.000 0.000
Mg: 0.750 0.250 0.500
Zn: 0.250 0.750 0.500
Zn: 0.500 0.500 0.000
O: 0.121 0.625 0.996
O: 0.375 0.371 0.496
O: 0.629 0.125 0.004
O: 0.875 0.879 0.504

Computed properties:
The total magnetic moment is 0.00 μB/f.u. The formation energy (no corrections) is -2002 meV per atom. For the polymorph energy (0 for the lowest one), the calculation gives 0.0401 eV per atom. The value obtained for the volume is 12.3 Å³ per atom.

***

6.
The following is a GGA-PBE calculation of a geometry-optimized Ba2CaHIr structure, from the Alexandria database.

Cell lengths 5.282, 5.282, 4.767 Å; angles 90.00, 90.00, 90.00 degrees
Fractional coordinates of all 5 atoms:
Ba: 0.000 0.500 0.000
Ba: 0.500 0.000 0.000
Ca: 0.000 0.000 0.500
H: 0.000 0.000 0.000
Ir: 0.500 0.500 0.500

Computed properties:
The electronic total energy comes out at -17.9 eV/f.u. The total magnetic moment is 0.00 μB/f.u. The value obtained for the volume is 26.6 Å³ per atom.

***

7.
The following is a GGA-PBE calculation of a geometry-optimized SiTeWI2 structure, from the Alexandria database.

Cell lengths 5.394, 5.394, 5.228 Å; angles 90.00, 90.00, 90.00 degrees
Fractional coordinates of all 5 atoms:
Si: 0.000 0.000 0.000
Te: 0.500 0.500 0.500
W: 0.000 0.000 0.500
I: 0.000 0.500 0.000
I: 0.500 0.000 0.000

Computed properties:
The total magnetic moment is 2.58 μB/f.u. The formation energy (no corrections) is 1306 meV per atom. For the polymorph energy (0 for the lowest one), the calculation gives 0.2624 eV per atom. The value obtained for the volume is 30.4 Å³ per atom.

***

8.
The following is a GGA-PBE calculation of a geometry-optimized HfAsW structure, from the Alexandria database.

Cell lengths 3.469, 4.897, 6.767 Å; angles 104.01, 90.06, 103.89 degrees
Fractional coordinates of all 6 atoms:
Hf: 0.000 0.000 0.000
Hf: 0.047 0.205 0.564
As: 0.437 0.905 0.282
As: 0.607 0.394 0.887
W: 0.494 0.749 0.637
W: 0.752 0.489 0.288

Computed properties:
The total magnetic moment is 0.00 μB/f.u. The formation energy is -195 meV per atom. The value obtained for the volume is 18.0 Å³ per atom.

***

9.
The following is a GGA-PBE calculation of a geometry-optimized MgP2W2 structure, from the Alexandria database.

Cell lengths 5.532, 5.532, 5.532 Å; angles 132.59, 132.59, 69.30 degrees
Fractional coordinates of all 5 atoms:
Mg: 0.000 0.000 0.000
P: 0.250 0.750 0.500
P: 0.750 0.250 0.500
W: 0.368 0.368 0.000
W: 0.632 0.632 0.000

Computed properties:
The total magnetic moment is 0.00 μB/f.u. The formation energy is 167 meV per atom. The value obtained for the volume is 18.0 Å³ per atom.

***

10.
The following is a GGA-PBE calculation of a geometry-optimized RbSiNi structure, from the Alexandria database.

Cell lengths 4.110, 4.110, 11.016 Å; angles 90.00, 90.00, 90.00 degrees
Fractional coordinates of all 6 atoms:
Rb: 0.250 0.250 0.222
Rb: 0.750 0.750 0.778
Si: 0.250 0.250 0.590
Si: 0.750 0.750 0.410
Ni: 0.250 0.750 0.500
Ni: 0.750 0.250 0.500

Computed properties:
The total magnetic moment is 0.00 μB/f.u. The formation energy (no corrections) is -147 meV per atom. The value obtained for the volume is 31.0 Å³ per atom.

***

11.
The following is a GGA-PBE calculation of a geometry-optimized HgRhOF2 structure, from the Alexandria database.

Cell lengths 4.399, 4.399, 3.770 Å; angles 90.00, 90.00, 90.00 degrees
Fractional coordinates of all 5 atoms:
Hg: 0.000 0.000 0.000
Rh: 0.500 0.500 0.500
O: 0.500 0.500 0.000
F: 0.000 0.500 0.500
F: 0.500 0.000 0.500

Computed properties:
The total magnetic moment is 0.00 μB/f.u. The formation energy (no corrections) is -758 meV per atom. For the polymorph energy (0 for the lowest one), the calculation gives 0.0000 eV per atom. The value obtained for the volume is 14.6 Å³ per atom.

***

12.
The following is a GGA-PBE calculation of a geometry-optimized BaY2CdBi structure, from the Alexandria database.

Cell lengths 5.909, 5.909, 6.168 Å; angles 90.00, 90.00, 90.00 degrees
Fractional coordinates of all 5 atoms:
Ba: 0.000 0.000 0.000
Y: 0.000 0.500 0.000
Y: 0.500 0.000 0.000
Cd: 0.500 0.500 0.500
Bi: 0.000 0.000 0.500

Computed properties:
The total magnetic moment is 0.00 μB/f.u. The formation energy is 1036 meV per atom. For the polymorph energy (0 for the lowest one), the calculation gives 0.8825 eV per atom. The value obtained for the volume is 43.1 Å³ per atom.

***

13.
The following is a GGA-PBE calculation of a geometry-optimized Tb2Dy12Pu structure, from the Alexandria database.

Cell lengths 6.399, 6.399, 24.770 Å; angles 90.00, 90.00, 90.00 degrees
Fractional coordinates of all 30 atoms:
Tb: 0.250 0.750 0.227
Tb: 0.250 0.750 0.773
Tb: 0.750 0.250 0.227
Tb: 0.750 0.250 0.773
Dy: 0.067 0.567 0.386
Dy: 0.067 0.933 0.614
Dy: 0.082 0.582 0.939
Dy: 0.082 0.918 0.061
Dy: 0.250 0.250 0.161
Dy: 0.250 0.250 0.286
Dy: 0.250 0.250 0.714
Dy: 0.250 0.250 0.839
Dy: 0.418 0.582 0.061
Dy: 0.418 0.918 0.939
Dy: 0.433 0.567 0.614
Dy: 0.433 0.933 0.386
Dy: 0.567 0.067 0.614
Dy: 0.567 0.433 0.386
Dy: 0.582 0.082 0.061
Dy: 0.582 0.418 0.939
Dy: 0.750 0.750 0.161
Dy: 0.750 0.750 0.286
Dy: 0.750 0.750 0.714
Dy: 0.750 0.750 0.839
Dy: 0.918 0.082 0.939
Dy: 0.918 0.418 0.061
Dy: 0.933 0.067 0.386
Dy: 0.933 0.433 0.614
Pu: 0.250 0.750 0.500
Pu: 0.750 0.250 0.500

Computed properties:
The total magnetic moment is 6.38 μB/f.u. The formation energy is 370 meV per atom. The value obtained for the volume is 33.8 Å³ per atom.

***

14.
The following is a GGA-PBE calculation of a geometry-optimized LuThPa structure, from the Alexandria database.

Cell lengths 5.483, 5.483, 3.318 Å; angles 90.00, 90.00, 120.00 degrees
Fractional coordinates of all 3 atoms:
Lu: 0.000 0.000 0.000
Th: 0.667 0.333 0.501
Pa: 0.333 0.667 0.003

Computed properties:
The total magnetic moment is 0.16 μB/f.u. The formation energy is 273 meV per atom. For the polymorph energy (0 for the lowest one), the calculation gives 0.1391 eV per atom. The value obtained for the volume is 28.8 Å³ per atom.

***

15.
The following is a GGA-PBE calculation of a geometry-optimized RbTe2RuI structure, from the Alexandria database.

Cell lengths 6.481, 6.481, 6.471 Å; angles 90.00, 90.00, 90.00 degrees
Fractional coordinates of all 5 atoms:
Rb: 0.000 0.000 0.000
Te: 0.000 0.500 0.000
Te: 0.500 0.000 0.000
Ru: 0.500 0.500 0.500
I: 0.000 0.000 0.500

Computed properties:
The total magnetic moment is 6.01 μB/f.u. The formation energy (no corrections) is 1579 meV per atom. For the polymorph energy (0 for the lowest one), the calculation gives 1.7454 eV per atom. The value obtained for the volume is 54.4 Å³ per atom.

***

16.
The following is a GGA-PBE calculation of a geometry-optimized LiAlCr2 structure, from the Alexandria database.

Cell lengths 4.394, 4.394, 3.121 Å; angles 90.00, 90.00, 90.00 degrees
Fractional coordinates of all 4 atoms:
Li: 0.000 0.000 0.000
Al: 0.500 0.500 0.000
Cr: 0.000 0.500 0.500
Cr: 0.500 0.000 0.500

Computed properties:
The total magnetic moment is 7.05 μB/f.u. The formation energy is 386 meV per atom. The value obtained for the volume is 15.1 Å³ per atom.